{
  "formula": "ZrUSeS2",
  "functional": "GGA-PBE",
  "state": "optimized geometry",
  "lattice_angstrom": [[-0.702, 0.563, 3.549], [-1.873, -8.985, 1.054], [7.009, 1.130, 1.206]],
  "species": ["Zr", "Zr", "S", "S", "S", "S", "Se", "Se", "U", "U"],
  "frac_coords": [[0.750, 0.648, 0.646], [0.250, 0.352, 0.354], [0.250, 0.057, 0.327], [0.250, 0.641, 0.384], [0.750, 0.943, 0.673], [0.750, 0.359, 0.616], [0.250, 0.711, 0.942], [0.750, 0.289, 0.058], [0.750, 0.827, 0.269], [0.250, 0.173, 0.731]],
  "final_energy_ry_per_atom": -0.566,
  "n_ef_per_ev_cell": 11.41,
  "e_form_raw_mev_per_atom": -1379
}